1.
# BaZr2Zn

A relaxed BaZr2Zn crystal (PBE, Alexandria).

Properties
Fermi-level density of states	6.43	states/eV per cell
calculated total energy	-18.24	eV per formula unit

Structure (CIF):
```
data_BaZr2Zn
_chemical_formula_sum 'Ba1 Zr2 Zn1'
_cell_length_a 4.594
_cell_length_b 4.594
_cell_length_c 4.840
_cell_angle_alpha 90.00
_cell_angle_beta 90.00
_cell_angle_gamma 90.00
_space_group_name_H-M_alt 'P 4/m m m'
_space_group_IT_number 123
_space_group_name_Hall '-P 4 2'
loop_
_atom_site_label
_atom_site_type_symbol
_atom_site_fract_x
_atom_site_fract_y
_atom_site_fract_z
Ba1 Ba 0.000 0.000 0.000
Zr1 Zr 0.000 0.500 0.500
Zn1 Zn 0.500 0.500 0.000
```

2.
# Ba2ZrZn

A relaxed Ba2ZrZn crystal (PBE, Alexandria).

Properties
Fermi-level density of states	6.32	states/eV per cell
calculated total energy	-12.17	eV per formula unit

Structure (CIF):
```
data_Ba2ZrZn
_chemical_formula_sum 'Ba2 Zr1 Zn1'
_cell_length_a 3.805
_cell_length_b 3.805
_cell_length_c 9.570
_cell_angle_alpha 90.00
_cell_angle_beta 90.00
_cell_angle_gamma 90.00
_space_group_name_H-M_alt 'P 4/m m m'
_space_group_IT_number 123
_space_group_name_Hall '-P 4 2'
loop_
_atom_site_label
_atom_site_type_symbol
_atom_site_fract_x
_atom_site_fract_y
_atom_site_fract_z
Ba1 Ba 0.000 0.000 0.231
Zr1 Zr 0.500 0.500 0.500
Zn1 Zn 0.500 0.500 0.000
```

3.
# BaZr2Zn

A relaxed BaZr2Zn crystal (PBE, Alexandria).

Properties
Fermi-level density of states	12.03	states/eV per cell
calculated total energy	-18.35	eV per formula unit

Structure (CIF):
```
data_BaZr2Zn
_chemical_formula_sum 'Ba4 Zr8 Zn4'
_cell_length_a 7.484
_cell_length_b 7.484
_cell_length_c 7.484
_cell_angle_alpha 90.00
_cell_angle_beta 90.00
_cell_angle_gamma 90.00
_space_group_name_H-M_alt 'F -4 3 m'
_space_group_IT_number 216
_space_group_name_Hall 'F -4 2 3'
loop_
_atom_site_label
_atom_site_type_symbol
_atom_site_fract_x
_atom_site_fract_y
_atom_site_fract_z
Ba1 Ba 0.000 0.000 0.000
Zr1 Zr 0.000 0.000 0.500
Zr2 Zr 0.250 0.250 0.750
Zn1 Zn 0.250 0.250 0.250
```

4.
# BaZr2Zn

A relaxed BaZr2Zn crystal (PBE, Alexandria).

Properties
Fermi-level density of states	10.05	states/eV per cell
calculated total energy	-19.05	eV per formula unit

Structure (CIF):
```
data_BaZr2Zn
_chemical_formula_sum 'Ba2 Zr4 Zn2'
_cell_length_a 10.233
_cell_length_b 3.317
_cell_length_c 6.813
_cell_angle_alpha 90.00
_cell_angle_beta 99.05
_cell_angle_gamma 90.00
_space_group_name_H-M_alt 'C 1 m 1'
_space_group_IT_number 8
_space_group_name_Hall 'C -2y'
loop_
_atom_site_label
_atom_site_type_symbol
_atom_site_fract_x
_atom_site_fract_y
_atom_site_fract_z
Ba1 Ba 0.000 0.000 0.000
Zr1 Zr 0.023 0.500 0.502
Zr2 Zr 0.283 0.500 0.367
Zn1 Zn 0.249 0.000 0.695
```

5.
# Ba2ZrZn

A relaxed Ba2ZrZn crystal (PBE, Alexandria).

Properties
Fermi-level density of states	9.71	states/eV per cell
calculated total energy	-11.82	eV per formula unit

Structure (CIF):
```
data_Ba2ZrZn
_chemical_formula_sum 'Ba6 Zr3 Zn3'
_cell_length_a 3.8048
_cell_length_b 3.8048
_cell_length_c 33.4127
_cell_angle_alpha 90.00
_cell_angle_beta 90.00
_cell_angle_gamma 120.00
_space_group_name_H-M_alt 'R -3 m'
_space_group_IT_number 166
_space_group_name_Hall '-R 3 2"'
loop_
_atom_site_label
_atom_site_type_symbol
_atom_site_fract_x
_atom_site_fract_y
_atom_site_fract_z
Ba1 Ba 0.0000 0.0000 0.2467
Zr1 Zr 0.0000 0.0000 0.0000
Zn1 Zn 0.0000 0.0000 0.5000
```

6.
# BaZr2Zn

A relaxed BaZr2Zn crystal (PBE, Alexandria).

Properties
Fermi-level density of states	11.30	states/eV per cell
calculated total energy	-18.77	eV per formula unit

Structure (CIF):
```
data_BaZr2Zn
_chemical_formula_sum 'Ba3 Zr6 Zn3'
_cell_length_a 3.4095
_cell_length_b 3.4095
_cell_length_c 31.0438
_cell_angle_alpha 90.00
_cell_angle_beta 90.00
_cell_angle_gamma 120.00
_space_group_name_H-M_alt 'R -3 m'
_space_group_IT_number 166
_space_group_name_Hall '-R 3 2"'
loop_
_atom_site_label
_atom_site_type_symbol
_atom_site_fract_x
_atom_site_fract_y
_atom_site_fract_z
Ba1 Ba 0.0000 0.0000 0.0000
Zr1 Zr 0.0000 0.0000 0.2336
Zn1 Zn 0.0000 0.0000 0.5000
```

7.
# BaZrZn3

A relaxed BaZrZn3 crystal (PBE, Alexandria).

Properties
Fermi-level density of states	6.84	states/eV per cell
calculated total energy	-12.94	eV per formula unit

Structure (CIF):
```
data_BaZrZn3
_chemical_formula_sum 'Ba1 Zr1 Zn3'
_cell_length_a 5.323
_cell_length_b 5.323
_cell_length_c 5.323
_cell_angle_alpha 90.00
_cell_angle_beta 90.00
_cell_angle_gamma 90.00
_space_group_name_H-M_alt 'P m -3 m'
_space_group_IT_number 221
_space_group_name_Hall '-P 4 2 3'
loop_
_atom_site_label
_atom_site_type_symbol
_atom_site_fract_x
_atom_site_fract_y
_atom_site_fract_z
Ba1 Ba 0.000 0.000 0.000
Zr1 Zr 0.500 0.500 0.500
Zn1 Zn 0.000 0.500 0.500
```

8.
# BaZrZn3

A relaxed BaZrZn3 crystal (PBE, Alexandria).

Properties
Fermi-level density of states	4.92	states/eV per cell
calculated total energy	-7.59	eV per formula unit

Structure (CIF):
```
data_BaZrZn3
_chemical_formula_sum 'Ba1 Zr1 Zn3'
_cell_length_a 5.421
_cell_length_b 5.421
_cell_length_c 5.421
_cell_angle_alpha 90.00
_cell_angle_beta 90.00
_cell_angle_gamma 90.00
_space_group_name_H-M_alt 'P m -3 m'
_space_group_IT_number 221
_space_group_name_Hall '-P 4 2 3'
loop_
_atom_site_label
_atom_site_type_symbol
_atom_site_fract_x
_atom_site_fract_y
_atom_site_fract_z
Ba1 Ba 0.000 0.000 0.000
Zr1 Zr 0.500 0.500 0.500
Zn1 Zn 0.000 0.000 0.500
```

9.
# Ba2Zr2Zn

A relaxed Ba2Zr2Zn crystal (PBE, Alexandria).

Properties
Fermi-level density of states	11.86	states/eV per cell
calculated total energy	-18.51	eV per formula unit

Structure (CIF):
```
data_Ba2Zr2Zn
_chemical_formula_sum 'Ba4 Zr4 Zn2'
_cell_length_a 9.694
_cell_length_b 9.694
_cell_length_c 3.581
_cell_angle_alpha 90.00
_cell_angle_beta 90.00
_cell_angle_gamma 90.00
_space_group_name_H-M_alt 'P 4/m b m'
_space_group_IT_number 127
_space_group_name_Hall '-P 4 2ab'
loop_
_atom_site_label
_atom_site_type_symbol
_atom_site_fract_x
_atom_site_fract_y
_atom_site_fract_z
Ba1 Ba 0.199 0.301 0.000
Zr1 Zr 0.101 0.601 0.500
Zn1 Zn 0.000 0.000 0.500
```

10.
# Ba2ZrZn

A relaxed Ba2ZrZn crystal (PBE, Alexandria).

Properties
Fermi-level density of states	9.74	states/eV per cell
calculated total energy	-12.63	eV per formula unit

Structure (CIF):
```
data_Ba2ZrZn
_chemical_formula_sum 'Ba4 Zr2 Zn2'
_cell_length_a 3.753
_cell_length_b 5.906
_cell_length_c 12.478
_cell_angle_alpha 90.00
_cell_angle_beta 90.00
_cell_angle_gamma 90.00
_space_group_name_H-M_alt 'I m m 2'
_space_group_IT_number 44
_space_group_name_Hall 'I 2 -2'
loop_
_atom_site_label
_atom_site_type_symbol
_atom_site_fract_x
_atom_site_fract_y
_atom_site_fract_z
Ba1 Ba 0.000 0.000 0.000
Ba2 Ba 0.000 0.500 0.205
Zr1 Zr 0.000 0.000 0.413
Zn1 Zn 0.000 0.500 0.749
```

11.
# BaZr2Zn

A relaxed BaZr2Zn crystal (PBE, Alexandria).

Properties
Fermi-level density of states	30.61	states/eV per cell
calculated total energy	-17.41	eV per formula unit

Structure (CIF):
```
data_BaZr2Zn
_chemical_formula_sum 'Ba4 Zr8 Zn4'
_cell_length_a 5.107
_cell_length_b 5.107
_cell_length_c 20.953
_cell_angle_alpha 90.00
_cell_angle_beta 90.00
_cell_angle_gamma 90.00
_space_group_name_H-M_alt 'I -4 2 d'
_space_group_IT_number 122
_space_group_name_Hall 'I -4 2bw'
loop_
_atom_site_label
_atom_site_type_symbol
_atom_site_fract_x
_atom_site_fract_y
_atom_site_fract_z
Ba1 Ba 0.000 0.000 0.000
Zr1 Zr 0.038 0.750 0.625
Zn1 Zn 0.000 0.000 0.500
```

12.
# BaZr3Zn

A relaxed BaZr3Zn crystal (PBE, Alexandria).

Properties
Fermi-level density of states	11.22	states/eV per cell
calculated total energy	-25.59	eV per formula unit

Structure (CIF):
```
data_BaZr3Zn
_chemical_formula_sum 'Ba1 Zr3 Zn1'
_cell_length_a 5.225
_cell_length_b 5.225
_cell_length_c 5.225
_cell_angle_alpha 90.00
_cell_angle_beta 90.00
_cell_angle_gamma 90.00
_space_group_name_H-M_alt 'P m -3 m'
_space_group_IT_number 221
_space_group_name_Hall '-P 4 2 3'
loop_
_atom_site_label
_atom_site_type_symbol
_atom_site_fract_x
_atom_site_fract_y
_atom_site_fract_z
Ba1 Ba 0.000 0.000 0.000
Zr1 Zr 0.000 0.500 0.500
Zn1 Zn 0.500 0.500 0.500
```

V, record by record: 102.2 138.6 419.2 228.4 418.9 312.5 150.8 159.3 336.5 276.6 546.5 142.7 Å³ per cell